A | Li2VOF3 | PBEsol | relaxed

Spin magnetization, μB/f.u.: 2.00
Crystal system: monoclinic
Space-group type: Pc, No. 7

Cell and atoms, written as extended XYZ:
```
14
Lattice="5.8172 0.0000 0.0000 0.0000 4.9733 0.0000 -2.4653 0.0000 4.7742" Properties=species:S:1:pos:R:3 pbc="T T T"
Li 0.0000 1.1479 0.0000
Li -1.2327 3.8254 2.3871
Li -0.0801 1.2046 3.4402
Li 1.1526 3.7687 1.0531
V 2.2877 1.0986 2.0757
V 1.0550 3.8747 4.4628
O 2.4790 0.2410 0.4539
O 1.2464 4.7323 2.8411
F 0.5771 2.0238 1.5453
F -0.6555 2.9495 3.9324
F 2.0386 2.1668 3.8606
F 3.2713 2.8065 1.4734
F 3.9880 0.5321 2.9759
F 5.2207 4.4412 0.5887
```

=====

B | Li2VOF3 | PBEsol | relaxed

Spin magnetization, μB/f.u.: 2.00
Crystal system: tetragonal
Space-group type: P4_1, No. 76

Cell and atoms, written as extended XYZ:
```
28
Lattice="5.8527 0.0000 0.0000 0.0000 5.8527 0.0000 0.0000 0.0000 8.3414" Properties=species:S:1:pos:R:3 pbc="T T T"
Li 0.0350 1.4107 0.0000
Li 1.4015 4.3614 1.0275
Li 1.4107 5.8177 6.2560
Li 1.4913 1.4015 3.1128
Li 4.3614 4.4512 7.2835
Li 4.4420 0.0350 2.0853
Li 4.4512 1.4913 5.1982
Li 5.8177 4.4420 4.1707
V 1.5189 2.9850 6.3760
V 2.8677 1.5189 0.1199
V 2.9850 4.3338 4.2906
V 4.3338 2.8677 2.2053
O 1.5658 2.8236 8.2182
O 2.8236 4.2869 6.1328
O 3.0291 1.5658 1.9621
O 4.2869 3.0291 4.0475
F 0.0872 4.3590 6.2370
F 0.1501 1.4845 6.2838
F 1.4311 2.9881 4.2622
F 1.4845 5.7026 4.1984
F 1.4937 0.0872 8.3224
F 2.8646 1.4311 6.3475
F 2.9881 4.4216 2.1769
F 4.3590 5.7655 4.1517
F 4.3682 0.1501 0.0278
F 4.4216 2.8646 0.0915
F 5.7026 4.3682 2.1131
F 5.7655 1.4937 2.0663
```

=====

It is B that is the most stable of them.

=====

A | Li2VOF3 | PBEsol | relaxed

Spin magnetization, μB/f.u.: 2.00
Crystal system: orthorhombic
Space-group type: Pnc2, No. 30

Cell and atoms, written as extended XYZ:
```
28
Lattice="4.9663 0.0000 0.0000 0.0000 4.9319 0.0000 0.0000 0.0000 11.2734" Properties=species:S:1:pos:R:3 pbc="T T T"
Li 0.0000 0.0000 0.0000
Li 0.0000 0.0000 4.8875
Li 0.0000 2.4660 5.6367
Li 0.0000 2.4660 10.5242
Li 2.4832 0.0000 3.3632
Li 2.4832 0.0000 9.7274
Li 2.4832 2.4660 4.0907
Li 2.4832 2.4660 8.9999
V 0.0000 0.0000 7.8117
V 0.0000 2.4660 2.1750
V 2.4832 0.0000 6.4719
V 2.4832 2.4660 0.8352
O 0.8811 1.0193 6.5161
O 0.8811 1.4466 0.8794
O 4.0853 3.4853 0.8794
O 4.0853 3.9126 6.5161
F 0.8901 1.0634 9.3495
F 0.8901 1.4026 3.7128
F 1.6363 3.5579 10.6524
F 1.6363 3.8400 5.0157
F 1.6578 3.6011 2.3023
F 1.6578 3.7968 7.9390
F 3.3086 1.1351 7.9390
F 3.3086 1.3309 2.3023
F 3.3300 1.0919 5.0157
F 3.3300 1.3741 10.6524
F 4.0762 3.5293 3.7128
F 4.0762 3.8686 9.3495
```

=====

B | Li2VOF3 | PBEsol | relaxed

Spin magnetization, μB/f.u.: 2.00
Crystal system: monoclinic
Space-group type: C2, No. 5

Cell and atoms, written as extended XYZ:
```
14
Lattice="4.7599 -2.8833 0.0000 4.7599 2.8833 0.0000 -0.0584 0.0000 5.0958" Properties=species:S:1:pos:R:3 pbc="T T T"
Li 2.7844 1.2236 2.4475
Li 1.8636 0.0000 0.0309
Li 6.6771 1.2236 2.6483
Li 7.5979 0.0000 5.0649
V 4.7599 -0.2216 0.0000
V 4.7307 -1.6945 2.5479
O 3.7172 -1.4182 0.9808
O 5.7443 -1.4182 4.1150
F 1.2904 -0.0702 1.8468
F 3.5052 1.2427 0.6882
F 3.5001 -0.2450 3.4525
F 5.9563 1.2427 4.4076
F 5.9613 -0.2450 1.6433
F 8.1710 -0.0702 3.2490
```

=====

It is B that is the most stable of them.

=====

A | Li4VO3F2 | PBEsol | relaxed

Spin magnetization, μB/f.u.: 1.00
Crystal system: triclinic
Space-group type: P1, No. 1

Cell and atoms, written as extended XYZ:
```
20
Lattice="5.0287 0.0000 0.0000 -0.8348 4.9801 0.0000 -1.7940 -2.7084 6.7871" Properties=species:S:1:pos:R:3 pbc="T T T"
Li 0.0000 0.0000 0.0000
Li -1.7067 -0.2756 5.3068
Li -0.6624 2.3518 1.2226
Li 1.6316 3.6534 0.6634
Li 0.7653 1.1317 4.6330
Li 1.6802 1.1346 1.9127
Li 3.1490 2.2491 3.9796
Li 4.1002 -0.0713 2.5683
V 1.5196 -1.1210 3.4028
V 0.7062 -1.4609 6.1583
O 0.9507 1.7921 0.1640
O 0.0271 4.1530 1.7871
O 0.0352 -0.8055 4.3948
O 1.4010 2.9514 4.8816
O 2.3910 0.4078 3.6568
O 3.3438 0.5911 0.7970
F -0.1303 1.7634 2.9952
F -0.9714 1.7080 5.7235
F 2.3854 3.0527 2.3805
F 1.5522 0.3590 6.4277
```

=====

B | Li4VO3F2 | PBEsol | relaxed

Spin magnetization, μB/f.u.: 1.00
Crystal system: monoclinic
Space-group type: C2/c, No. 15

Cell and atoms, written as extended XYZ:
```
20
Lattice="4.4413 -2.8624 0.0000 4.4413 2.8624 0.0000 -1.2576 0.0000 7.7747" Properties=species:S:1:pos:R:3 pbc="T T T"
Li 2.9345 1.9315 4.3559
Li 1.6312 0.9874 6.6984
Li 4.0618 1.9315 7.3061
Li 2.2600 -0.9874 2.8111
Li 5.3651 0.9874 4.9636
Li 3.5633 -1.9315 0.4686
Li 5.9939 -0.9874 1.0762
Li 4.6906 -1.9315 3.4188
V 4.1269 0.9709 1.9437
V 3.4981 -0.9709 5.8310
O 3.5179 1.8502 0.5405
O 4.7360 1.8502 3.3469
O 3.4981 0.8018 5.8310
O 4.1269 -0.8018 1.9437
O 2.8891 -1.8502 4.4278
O 4.1071 -1.8502 7.2342
F 2.2653 0.9848 2.7351
F 1.6365 -0.9848 6.6224
F 5.9885 0.9848 1.1523
F 5.3597 -0.9848 5.0396
```

=====

It is A that is the most stable of them.

=====

A | LiV5O7F | PBEsol | relaxed

Spin magnetization, μB/f.u.: 6.02
Crystal system: monoclinic
Space-group type: Cm, No. 8

Cell and atoms, written as extended XYZ:
```
28
Lattice="5.2813 -2.8597 0.0000 5.2813 2.8597 0.0000 -3.1938 0.0000 9.2979" Properties=species:S:1:pos:R:3 pbc="T T T"
Li 0.0000 0.0000 0.0000
Li 3.8652 0.0000 4.5799
V 2.8462 1.2980 0.0886
V -1.3572 0.0000 5.8224
V 1.2267 1.1681 4.6793
V 2.0705 0.0000 2.0836
V 2.3064 0.0000 7.7900
V 1.2267 -1.1681 4.6793
V 2.8462 -1.2980 0.0886
V 5.6290 0.0000 1.4442
V 5.7640 0.0000 6.9162
V 9.0360 0.0000 3.0094
O 1.2032 1.4666 8.1283
O 2.7405 1.3551 3.4360
O 0.3597 0.0000 3.3149
O 6.4450 1.5526 1.0199
O 2.1252 0.0000 5.8715
O 3.8087 0.0000 1.2533
O 4.8982 1.3117 5.7277
O 2.7405 -1.3551 3.4360
O 1.2032 -1.4666 8.1283
O 4.1656 0.0000 8.1953
O 8.8163 0.0000 1.0963
O 7.3169 0.0000 5.7024
O 4.8982 -1.3117 5.7277
O 6.4450 -1.5526 1.0199
F -1.2466 0.0000 8.0598
F 5.6708 0.0000 3.5317
```

=====

B | LiV5O7F | PBEsol | relaxed

Spin magnetization, μB/f.u.: 3.63
Crystal system: trigonal
Space-group type: R3m, No. 160

Cell and atoms, written as extended XYZ:
```
14
Lattice="2.8694 1.6567 4.8261 -2.8694 1.6567 4.8261 0.0000 -3.3134 4.8261" Properties=species:S:1:pos:R:3 pbc="T T T"
Li 0.0000 0.0000 0.0000
V 0.0000 0.0000 5.0923
V 0.0000 -1.4355 7.8986
V -1.2432 0.7177 7.8986
V 0.0000 0.0000 11.0989
V 1.2432 0.7177 7.8986
O 0.0000 -1.6063 3.9904
O -1.3911 0.8031 3.9904
O -1.2817 -0.7400 6.5435
O 1.3911 0.8031 3.9903
O 1.2817 -0.7400 6.5435
O 0.0000 1.4800 6.5435
O 0.0000 0.0000 9.2248
F 0.0000 0.0000 1.9179
```

=====

It is B that is the most stable of them.

=====

A | LiV3O5F3 | PBEsol | relaxed

Spin magnetization, μB/f.u.: 3.00
Crystal system: monoclinic
Space-group type: Pm, No. 6

Cell and atoms, written as extended XYZ:
```
24
Lattice="6.5511 0.0000 0.0000 0.0000 3.7019 0.0000 -2.9968 0.0000 11.6228" Properties=species:S:1:pos:R:3 pbc="T T T"
Li 0.0000 0.0000 0.0000
Li 1.0079 1.8510 4.4956
V -2.0741 1.8510 8.9036
V -0.1996 0.0000 7.1635
V 0.1934 0.0000 10.5084
V 2.6063 0.0000 2.0491
V 4.8022 1.8510 2.7641
V 4.3317 1.8510 6.0411
O -1.5591 0.0000 9.1546
O -0.6657 1.8510 7.4741
O 2.0637 0.0000 0.4101
O 0.8320 0.0000 5.9377
O 2.9422 1.8510 2.3438
O 1.6216 0.0000 11.2361
O 4.4447 0.0000 2.4538
O 3.2777 1.8510 7.7743
O 4.6673 0.0000 6.2534
O 5.3542 1.8510 4.3745
F -0.3710 1.8510 1.5622
F 1.2391 0.0000 3.2805
F -0.1340 1.8510 10.2142
F 0.9818 0.0000 8.6905
F 2.7847 1.8510 5.0690
F 3.6979 1.8510 10.5891
```

=====

B | LiV3O5F3 | PBEsol | relaxed

Spin magnetization, μB/f.u.: 3.00
Crystal system: monoclinic
Space-group type: Cc, No. 9

Cell and atoms, written as extended XYZ:
```
24
Lattice="4.4393 -5.4304 0.0000 4.4393 5.4304 0.0000 -0.1162 0.0000 4.9655" Properties=species:S:1:pos:R:3 pbc="T T T"
Li 4.3812 3.6882 2.4828
Li 4.4393 -3.6882 0.0000
V 2.2578 0.9212 2.3353
V 4.2186 2.0370 4.8577
V 2.1997 -0.9212 4.8181
V 6.4602 0.8469 2.7127
V 4.2767 -2.0370 2.3749
V 6.5183 -0.8469 0.2299
O 3.2321 3.3552 0.6301
O 3.3019 1.9366 3.3242
O 3.1703 0.6979 0.7887
O 5.4231 3.3334 4.3309
O 3.1122 -0.6979 3.2715
O 3.3600 -1.9366 0.8414
O 5.4942 0.6315 4.2444
O 3.1740 -3.3552 3.1129
O 5.5523 -0.6315 1.7616
O 5.4812 -3.3334 1.8481
F 1.0929 0.5544 4.0005
F 1.1510 -0.5544 1.5177
F 5.3356 2.0544 1.6875
F 5.2775 -2.0544 4.1702
F 7.5863 0.5837 0.9941
F 7.5282 -0.5837 3.4769
```

=====

It is B that is the most stable of them.

=====

A | Li3VO3F | PBEsol | relaxed

Spin magnetization, μB/f.u.: 1.01
Crystal system: monoclinic
Space-group type: Cm, No. 8

Cell and atoms, written as extended XYZ:
```
32
Lattice="4.0666 -5.7496 0.0000 4.0666 5.7496 0.0000 -4.0344 0.0000 5.7526" Properties=species:S:1:pos:R:3 pbc="T T T"
Li 0.0000 0.0000 0.0000
Li 0.0738 2.8103 2.9532
Li 2.1954 4.3041 1.4345
Li 4.1425 2.9005 0.0148
Li 2.0993 4.2459 4.2911
Li 0.1338 0.0000 2.9458
Li 2.0993 1.5450 4.4323
Li 0.0738 -2.8103 2.9532
Li 4.1425 -2.9005 0.0148
Li 2.1954 -4.3041 1.4345
Li 2.0993 -1.5450 4.4323
Li 2.0993 -4.2459 4.2911
V 2.0142 1.4382 1.2914
V -0.0466 0.0000 5.6579
V 2.0142 -1.4382 1.2914
V 4.0049 0.0000 3.0503
O 2.1266 2.7853 0.1249
O 0.2383 1.4164 1.4987
O -1.9906 0.0000 5.7102
O 0.0919 1.3442 4.4863
O 0.2383 -1.4164 1.4987
O 2.1677 0.0000 2.8035
O 4.0233 1.2833 1.4713
O 2.1266 -2.7853 0.1249
O 0.0919 -1.3442 4.4863
O 4.0233 -1.2833 1.4713
O 4.1213 1.3593 4.1815
O 4.1213 -1.3593 4.1815
F 2.1114 2.8697 2.8508
F 2.1114 -2.8697 2.8508
F 6.1103 0.0000 0.0566
F 6.1117 0.0000 2.8496
```

=====

B | Li3VO3F | PBEsol | relaxed

Spin magnetization, μB/f.u.: 0.00
Crystal system: triclinic
Space-group type: P-1, No. 2

Cell and atoms, written as extended XYZ:
```
16
Lattice="4.8873 0.0000 0.0000 -1.6888 4.7695 0.0000 -0.1172 -0.2753 5.7190" Properties=species:S:1:pos:R:3 pbc="T T T"
Li 0.2945 2.2570 2.1222
Li 1.2109 -0.0284 0.6557
Li 0.3131 2.1473 4.9767
Li 2.7682 2.3469 0.7422
Li 1.8705 4.5226 5.0632
Li 2.7868 2.2373 3.5968
V 1.3160 -0.0730 3.4467
V 1.7654 4.5672 2.2723
O -1.3371 3.5931 2.2813
O 1.8167 0.8450 4.8687
O 1.0692 3.4275 3.5703
O 2.0122 1.0667 2.1486
O 1.2646 3.6493 0.8503
O 4.4184 0.9011 3.4376
F -1.3247 3.3271 4.9980
F 4.4060 1.1671 0.7210
```

=====

It is B that is the most stable of them.